A) First-principles (PBE) data for Mn2GeI after structural relaxation, as listed in Alexandria via LeMat-Bulk.

a = 4.3580 Å, b = 4.3580 Å, c = 4.3580 Å
α = 60.00°, β = 60.00°, γ = 60.00°
Last column: nearest neighbours and their distance in Å.
Atoms (fractional coordinates):
I: 0.5000 0.5000 0.5000  8 Mn 2.67
Mn: 0.7500 0.7500 0.7500  4 I 2.67, 4 Ge 2.67
Mn: 0.2500 0.2500 0.2500  4 Ge 2.67, 4 I 2.67
Ge: 0.0000 0.0000 0.0000  8 Mn 2.67

Properties
- DOS(E_F) (states/eV per cell) = 3.019
- space group = Fm-3m
- spin magnetization (μB per formula unit) = 0.0

***

B) First-principles (PBE) data for Mn2GeI after structural relaxation, as listed in Alexandria via LeMat-Bulk.

a = 6.4752 Å, b = 6.4752 Å, c = 7.0755 Å
α = 62.77°, β = 62.77°, γ = 90.00°
Last column: nearest neighbours and their distance in Å.
Atoms (fractional coordinates):
Mn: 0.1735 0.6250 0.2500  2 Ge 2.48
Mn: 0.8750 0.8265 0.7500  2 Ge 2.48
Mn: 0.5765 0.1250 0.2500  2 Ge 2.48
Mn: 0.3750 0.4235 0.7500  2 Ge 2.48
Ge: 0.5000 0.5000 0.0000  4 Mn 2.48
Ge: 0.2500 0.7500 0.5000  4 Mn 2.48
I: 0.7500 0.2500 0.5000  4 Mn 2.86
I: 0.0000 0.0000 0.0000  4 Mn 2.86

Properties
- DOS(E_F) (states/eV per cell) = 6.050
- space group = I-42d
- spin magnetization (μB per formula unit) = 8.6

***

Comparing the structures above, B) comes out on top by 0.347 eV/atom.